Material: Lu4CuPbC2
Method: DFT, PBE-GGA
State: relaxed

Geometry as CIF:
```
data_Lu4CuPbC2
_chemical_formula_sum 'Lu4 Cu1 Pb1 C2'
_cell_length_a 3.5532
_cell_length_b 3.5532
_cell_length_c 14.4761
_cell_angle_alpha 90.00
_cell_angle_beta 90.00
_cell_angle_gamma 120.00
_symmetry_space_group_name_H-M 'P -6 m 2'
_symmetry_Int_Tables_number 187
_symmetry_space_group_name_Hall 'P -6 2'
loop_
_atom_site_label
_atom_site_type_symbol
_atom_site_fract_x
_atom_site_fract_y
_atom_site_fract_z
Lu1 Lu 0.0000 0.0000 0.1408
Lu2 Lu 0.3333 0.6667 0.3182
Cu1 Cu 0.3333 0.6667 0.0000
Pb1 Pb 0.0000 0.0000 0.5000
C1 C 0.6667 0.3333 0.2309
```

M_tot = 0.00 μB per atom
Volume = 158 Å³ per cell
Total energy = -47.16 eV/cell

***

Material: Lu4Sc2Cu3C3
Method: DFT, PBE-GGA
State: relaxed

Geometry as CIF:
```
data_Lu4Sc2Cu3C3
_chemical_formula_sum 'Lu16 Sc8 Cu12 C12'
_cell_length_a 10.300
_cell_length_b 5.936
_cell_length_c 14.579
_cell_angle_alpha 90.00
_cell_angle_beta 103.61
_cell_angle_gamma 90.00
_symmetry_space_group_name_H-M 'C 1 2/c 1'
_symmetry_Int_Tables_number 15
_symmetry_space_group_name_Hall '-C 2yc'
loop_
_atom_site_label
_atom_site_type_symbol
_atom_site_fract_x
_atom_site_fract_y
_atom_site_fract_z
Lu1 Lu 0.114 0.083 0.091
Lu2 Lu 0.219 0.084 0.409
Sc1 Sc 0.053 0.417 0.910
Cu1 Cu 0.000 0.072 0.250
Cu2 Cu 0.242 0.341 0.250
C1 C 0.079 0.262 0.500
C2 C 0.250 0.250 0.000
```

M_tot = 0.00 μB per atom
Volume = 866 Å³ per cell
Total energy = -288.51 eV/cell

***

Material: Lu2Ta4Cu3C3
Method: DFT, PBE-GGA
State: relaxed

Geometry as CIF:
```
data_Lu2Ta4Cu3C3
_chemical_formula_sum 'Lu8 Ta16 Cu12 C12'
_cell_length_a 9.542
_cell_length_b 5.519
_cell_length_c 13.917
_cell_angle_alpha 90.00
_cell_angle_beta 103.66
_cell_angle_gamma 90.00
_symmetry_space_group_name_H-M 'C 1 2/c 1'
_symmetry_Int_Tables_number 15
_symmetry_space_group_name_Hall '-C 2yc'
loop_
_atom_site_label
_atom_site_type_symbol
_atom_site_fract_x
_atom_site_fract_y
_atom_site_fract_z
Lu1 Lu 0.040 0.081 0.381
Ta1 Ta 0.112 0.407 0.584
Ta2 Ta 0.226 0.421 0.915
Cu1 Cu 0.000 0.426 0.750
Cu2 Cu 0.243 0.157 0.751
C1 C 0.085 0.255 0.000
C2 C 0.250 0.250 0.500
```

M_tot = 0.00 μB per atom
Volume = 712 Å³ per cell
Total energy = -400.37 eV/cell